# Al2FeTcO | the Alexandria database | GGA+U | optimized geometry
# crystal system: tetragonal
# spin magnetization: 1.55 μB/f.u.
# raw total energy: -24.511 eV per cell
data_Al2FeTcO
_chemical_formula_sum 'Al2 Fe1 Tc1 O1'
_space_group_name_H-M_alt 'P 4/m m m'
_space_group_IT_number 123
_space_group_name_Hall '-P 4 2'
_cell_length_a 4.790
_cell_length_b 4.790
_cell_length_c 3.286
_cell_angle_alpha 90.00
_cell_angle_beta 90.00
_cell_angle_gamma 90.00
loop_
_atom_site_label
_atom_site_type_symbol
_atom_site_fract_x
_atom_site_fract_y
_atom_site_fract_z
Al1 Al 0.000 0.500 0.000
Fe1 Fe 0.000 0.000 0.000
Tc1 Tc 0.500 0.500 0.500
O1 O 0.000 0.000 0.500